(1)
CaUSbO2: relaxed, GGA-PBE.

a b c (Å): 7.0543 7.0543 7.0543
angles (deg): 148.19 148.19 45.61
Fractional positions:
Ca 0.0000 0.0000 0.0000
U 0.3169 0.3169 0.0000
Sb 0.6616 0.6616 0.0000
O 0.3957 0.8957 0.5000
O 0.8957 0.3957 0.5000

Formation energy (no corrections) (eV per formula unit): -11.66
Calculated volume (Å³/cell): 97
Symmetry: No. 107
Magnetic moment (μB/f.u.): 1.58

---

(2)
Ca2USbO6: relaxed, GGA-PBE.

a b c (Å): 6.0549 6.0549 4.6229
angles (deg): 90.00 90.00 90.00
Fractional positions:
Ca 0.0000 0.5000 0.0000
Ca 0.5000 0.0000 0.0000
U 0.0000 0.0000 0.6536
Sb 0.5000 0.5000 0.6578
O 0.0000 0.0000 0.1836
O 0.2416 0.2416 0.7334
O 0.2416 0.7584 0.7334
O 0.5000 0.5000 0.0876
O 0.7584 0.2416 0.7334
O 0.7584 0.7584 0.7334

Formation energy (no corrections) (eV per formula unit): -24.64
Calculated volume (Å³/cell): 169
Symmetry: No. 99
Magnetic moment (μB/f.u.): 1.00

---

Total DFT energy (no corrections), respectively: -7.799 -7.380 eV/atom.